Below is a relaxed Zr5Bi2Sb2 crystal, with properties calculated at the PBE level.

Space group = Cmce
Electronic total energy = -7.03 eV per atom
E_form (uncorrected) = -4.5 eV per formula unit

Lattice parameters (Å, degrees): 7.647 7.745 8.375 117.54 90.00 90.00
Sites, in units of the cell vectors:
Zr: 0.000 0.000 0.000
Zr: 0.500 0.500 0.000
Zr: 0.841 0.780 0.257
Zr: 0.159 0.476 0.257
Zr: 0.341 0.976 0.257
Zr: 0.659 0.280 0.257
Zr: 0.159 0.220 0.743
Zr: 0.841 0.524 0.743
Zr: 0.659 0.024 0.743
Zr: 0.341 0.720 0.743
Bi: 0.000 0.203 0.406
Bi: 0.500 0.703 0.406
Bi: 0.000 0.797 0.594
Bi: 0.500 0.297 0.594
Sb: 0.641 0.856 0.000
Sb: 0.359 0.144 0.000
Sb: 0.141 0.644 0.000
Sb: 0.859 0.356 0.000


Below is a relaxed AcPmCu10 crystal, with properties calculated at the PBE level.

Space group = Pmmm
Formation enthalpy at 0 K = -0.14 eV/atom
Electronic total energy = -4.29 eV per atom

Lattice parameters (Å, degrees): 4.114 5.227 8.970 90.00 90.00 90.00
Sites, in units of the cell vectors:
Ac: 0.000 0.500 0.500
Pm: 0.000 0.000 0.000
Cu: 0.000 0.000 0.326
Cu: 0.000 0.500 0.841
Cu: 0.000 0.500 0.159
Cu: 0.000 0.000 0.674
Cu: 0.500 0.000 0.500
Cu: 0.500 0.500 0.000
Cu: 0.500 0.246 0.242
Cu: 0.500 0.754 0.758
Cu: 0.500 0.754 0.242
Cu: 0.500 0.246 0.758


Below is a relaxed CaDyNi2 crystal, with properties calculated at the PBE level.

Space group = P4/mmm
Formation enthalpy at 0 K = -0.24 eV/atom
Electronic total energy = -4.78 eV per atom
Offset from the most stable computed form = 0 kJ/mol of formula units

Lattice parameters (Å, degrees): 3.392 3.392 6.862 90.00 90.00 90.00
Sites, in units of the cell vectors:
Ni: 0.000 0.000 0.781
Ni: 0.000 0.000 0.219
Ca: 0.500 0.500 0.500
Dy: 0.500 0.500 0.000


Below is a relaxed Nd4CuSn8 crystal, with properties calculated at the PBE level.

Space group = Pmm2
Formation enthalpy at 0 K = -0.60 eV/atom
Electronic total energy = -4.84 eV per atom

Lattice parameters (Å, degrees): 4.443 4.518 17.544 90.00 90.00 90.00
Sites, in units of the cell vectors:
Nd: 0.000 0.000 0.094
Nd: 0.000 0.500 0.606
Nd: 0.500 0.500 0.396
Nd: 0.500 0.000 0.896
Cu: 0.000 0.000 0.319
Sn: 0.000 0.000 0.463
Sn: 0.000 0.500 0.933
Sn: 0.500 0.500 0.048
Sn: 0.500 0.000 0.573
Sn: 0.000 0.500 0.237
Sn: 0.000 0.000 0.749
Sn: 0.500 0.000 0.235
Sn: 0.500 0.500 0.754


Below is a relaxed ScH2Pd crystal, with properties calculated at the PBE level.

Space group = I-42d
Electronic total energy = -4.95 eV per atom
Offset from the most stable computed form = 31 kJ/mol of formula units

Lattice parameters (Å, degrees): 4.257 4.257 5.689 68.03 68.03 90.00
Sites, in units of the cell vectors:
Sc: 0.500 0.500 0.000
Sc: 0.250 0.750 0.500
H: 0.672 0.125 0.250
H: 0.078 0.625 0.250
H: 0.375 0.328 0.750
H: 0.875 0.922 0.750
Pd: 0.000 0.000 0.000
Pd: 0.750 0.250 0.500


Below is a relaxed BaVAs2Se crystal, with properties calculated at the PBE level.

Space group = P4/mmm
Electronic total energy = -3.49 eV per atom
Offset from the most stable computed form = 932 kJ/mol of formula units
E_form (uncorrected) = 6.4 eV per formula unit

Lattice parameters (Å, degrees): 5.694 5.694 5.900 90.00 90.00 90.00
Each line ends with the local moment (μB).
Sites, in units of the cell vectors:
As: 0.000 0.500 0.000  -0.27
As: 0.500 0.000 0.000  -0.27
Ba: 0.000 0.000 0.000  -0.01
Se: 0.000 0.000 0.500  -0.25
V: 0.500 0.500 0.500  3.10


Below is a relaxed ScFeAu2S crystal, with properties calculated at the PBE level.

Space group = P4/mmm
Electronic total energy = -4.62 eV per atom
E_form (uncorrected) = 2.4 eV per formula unit

Lattice parameters (Å, degrees): 4.735 4.843 4.735 90.00 90.00 90.00
Each line ends with the local moment (μB).
Sites, in units of the cell vectors:
Sc: 0.000 0.500 0.000  -0.26
S: 0.500 0.500 0.500  0.13
Au: 0.000 0.000 0.500  0.21
Au: 0.500 0.000 0.000  0.07
Fe: 0.000 0.000 0.000  2.08


Below is a relaxed Ba6H3N2Cl crystal, with properties calculated at the PBE level.

Space group = C2/m
Electronic total energy = -3.99 eV per atom

Lattice parameters (Å, degrees): 7.213 7.213 7.296 99.54 99.54 120.07
Sites, in units of the cell vectors:
Ba: 0.922 0.551 0.768
Ba: 0.710 0.710 0.238
Ba: 0.078 0.449 0.232
Ba: 0.551 0.922 0.768
Ba: 0.290 0.290 0.762
Ba: 0.449 0.078 0.232
H: 0.164 0.836 0.500
H: 0.836 0.164 0.500
H: 0.500 0.500 0.500
N: 0.334 0.666 0.000
N: 0.666 0.334 0.000
Cl: 0.000 0.000 0.000


Below is a relaxed Cs2BaCu2 crystal, with properties calculated at the PBE level.

Space group = I4/mmm
Formation enthalpy at 0 K = 0.56 eV/atom
Electronic total energy = -1.81 eV per atom

Lattice parameters (Å, degrees): 6.260 6.260 7.572 65.58 65.58 90.00
Sites, in units of the cell vectors:
Cs: 0.350 0.350 0.299
Cs: 0.650 0.650 0.701
Ba: 0.000 0.000 0.000
Cu: 0.750 0.250 0.500
Cu: 0.250 0.750 0.500


Below is a relaxed Hf3NbZn2 crystal, with properties calculated at the PBE level.

Space group = Cmmm
Formation enthalpy at 0 K = -0.11 eV/atom
Electronic total energy = -7.19 eV per atom
Offset from the most stable computed form = 7 kJ/mol of formula units

Lattice parameters (Å, degrees): 7.579 7.579 6.561 90.00 90.00 143.05
Sites, in units of the cell vectors:
Hf: 0.834 0.166 0.752
Hf: 0.500 0.500 0.249
Hf: 0.166 0.834 0.248
Hf: 0.834 0.166 0.248
Hf: 0.166 0.834 0.752
Hf: 0.500 0.500 0.751
Nb: 0.335 0.665 0.000
Nb: 0.665 0.335 0.000
Zn: 0.000 0.000 0.000
Zn: 0.000 0.000 0.500
Zn: 0.333 0.667 0.500
Zn: 0.667 0.333 0.500


Below is a relaxed MgCoGeRu crystal, with properties calculated at the PBE level.

Space group = F-43m
Formation enthalpy at 0 K = -0.17 eV/atom
Electronic total energy = -5.82 eV per atom

Lattice parameters (Å, degrees): 4.226 4.226 4.226 60.00 60.00 60.00
Sites, in units of the cell vectors:
Ru: 0.000 0.000 0.000
Ge: 0.250 0.250 0.250
Co: 0.500 0.500 0.500
Mg: 0.750 0.750 0.750


Below is a relaxed Y3HgN crystal, with properties calculated at the PBE level.

Space group = I-4m2
Electronic total energy = -6.03 eV per atom
E_form (uncorrected) = -2.1 eV per formula unit

Lattice parameters (Å, degrees): 6.675 6.675 7.610 63.99 63.99 90.00
Sites, in units of the cell vectors:
Y: 0.137 0.884 0.231
Y: 0.116 0.863 0.769
Y: 0.116 0.369 0.769
Y: 0.631 0.884 0.231
Y: 0.371 0.371 0.259
Y: 0.629 0.629 0.741
Hg: 0.622 0.122 0.756
Hg: 0.878 0.378 0.244
N: 0.000 0.000 0.000
N: 0.250 0.750 0.500


Below is a relaxed HfSi2Mo crystal, with properties calculated at the PBE level.

Space group = I-42d
Electronic total energy = -7.78 eV per atom
Offset from the most stable computed form = 137 kJ/mol of formula units
E_form (uncorrected) = 0.5 eV per formula unit

Lattice parameters (Å, degrees): 3.841 3.841 9.760 78.65 78.65 90.00
Sites, in units of the cell vectors:
Mo: 0.500 0.500 0.000
Mo: 0.250 0.750 0.500
Hf: 0.000 0.000 0.000
Hf: 0.750 0.250 0.500
Si: 0.620 0.125 0.250
Si: 0.130 0.625 0.250
Si: 0.375 0.380 0.750
Si: 0.875 0.870 0.750


Below is a relaxed Ag2IO2F4 crystal, with properties calculated at the PBE level.

Space group = C2/m
Electronic total energy = -3.55 eV per atom
E_form (uncorrected) = -7.3 eV per formula unit

Lattice parameters (Å, degrees): 5.148 6.137 6.137 54.90 72.31 72.31
Sites, in units of the cell vectors:
Ag: 0.051 0.638 0.638
Ag: 0.949 0.362 0.362
I: 0.500 0.000 0.000
O: 0.193 0.157 0.157
O: 0.807 0.843 0.843
F: 0.314 0.667 0.192
F: 0.686 0.808 0.333
F: 0.686 0.333 0.808
F: 0.314 0.192 0.667


Below is a relaxed Ca2CuBr crystal, with properties calculated at the PBE level.

Space group = R3m
Electronic total energy = -3.15 eV per atom
Offset from the most stable computed form = 4 kJ/mol of formula units
E_form (uncorrected) = -2.8 eV per formula unit

Lattice parameters (Å, degrees): 4.075 4.075 8.204 75.62 75.62 60.00
Sites, in units of the cell vectors:
Ca: 0.072 0.072 0.785
Ca: 0.263 0.263 0.211
Cu: 0.668 0.668 0.996
Br: 0.497 0.497 0.508


Below is a relaxed Ba2MgRhN crystal, with properties calculated at the PBE level.

Space group = P4/mmm
Electronic total energy = -4.49 eV per atom
E_form (uncorrected) = -1.3 eV per formula unit

Lattice parameters (Å, degrees): 5.946 5.946 3.854 90.00 90.00 90.00
Sites, in units of the cell vectors:
Mg: 0.500 0.500 0.500
Rh: 0.000 0.000 0.500
Ba: 0.000 0.500 0.000
Ba: 0.500 0.000 0.000
N: 0.000 0.000 0.000


Below is a relaxed La2YCu crystal, with properties calculated at the PBE level.

Space group = P4/mmm
Formation enthalpy at 0 K = -0.04 eV/atom
Electronic total energy = -5.14 eV per atom
Offset from the most stable computed form = 14 kJ/mol of formula units

Lattice parameters (Å, degrees): 3.718 3.718 8.665 90.00 90.00 90.00
Sites, in units of the cell vectors:
Cu: 0.500 0.500 0.750
La: 0.000 0.000 0.951
La: 0.000 0.000 0.549
Y: 0.500 0.500 0.250


Below is a relaxed BaTaCu2 crystal, with properties calculated at the PBE level.

Space group = Imm2
Formation enthalpy at 0 K = 0.74 eV/atom
Electronic total energy = -4.76 eV per atom
Offset from the most stable computed form = 155 kJ/mol of formula units

Lattice parameters (Å, degrees): 6.017 6.017 6.017 151.16 129.65 59.07
Sites, in units of the cell vectors:
Ba: 0.237 0.737 0.500
Cu: 0.964 0.964 0.000
Cu: 0.764 0.264 0.500
Ta: 0.534 0.534 0.000


Below is a relaxed Rb2WBr4Cl2 crystal, with properties calculated at the PBE level.

Space group = C2/m
Electronic total energy = -3.95 eV per atom
E_form (uncorrected) = -10.3 eV per formula unit

Lattice parameters (Å, degrees): 6.474 7.388 7.388 60.65 96.15 96.15
Each line ends with the local moment (μB).
Sites, in units of the cell vectors:
Rb: 0.283 0.656 0.656  0.00
Rb: 0.717 0.344 0.344  0.00
W: 0.500 0.000 0.000  1.52
Br: 0.262 0.664 0.150  0.01
Br: 0.738 0.850 0.336  0.01
Br: 0.738 0.336 0.850  0.01
Br: 0.262 0.150 0.664  0.01
Cl: 0.301 0.145 0.145  0.01
Cl: 0.699 0.855 0.855  0.01


Below is a relaxed Tm12ZnIn3 crystal, with properties calculated at the PBE level.

Space group = P4/mmm
Formation enthalpy at 0 K = -0.20 eV/atom
Electronic total energy = -4.15 eV per atom

Lattice parameters (Å, degrees): 4.762 4.762 19.019 90.00 90.00 90.00
Sites, in units of the cell vectors:
Tm: 0.500 0.500 0.000
Tm: 0.500 0.500 0.247
Tm: 0.500 0.500 0.500
Tm: 0.500 0.500 0.753
Tm: 0.500 0.000 0.120
Tm: 0.500 0.000 0.374
Tm: 0.500 0.000 0.626
Tm: 0.500 0.000 0.880
Tm: 0.000 0.500 0.120
Tm: 0.000 0.500 0.374
Tm: 0.000 0.500 0.626
Tm: 0.000 0.500 0.880
Zn: 0.000 0.000 0.000
In: 0.000 0.000 0.247
In: 0.000 0.000 0.500
In: 0.000 0.000 0.753